No. 1
# Rb2PaCrS6

A geometry-optimized Rb2PaCrS6 structure (PBE, Alexandria via LeMat-Bulk).

The density of states at the Fermi level is 0.843 states/eV per atom. For the total energy, the calculation gives -224.16 eV per cell.

The structure in CIF format:
```
data_Rb2PaCrS6
_space_group_name_H-M_alt 'F m -3 m'
_space_group_IT_number 225
_space_group_name_Hall '-F 4 2 3'
_cell_length_a 9.962
_cell_length_b 9.962
_cell_length_c 9.962
_cell_angle_alpha 90.00
_cell_angle_beta 90.00
_cell_angle_gamma 90.00
loop_
_atom_site_label
_atom_site_type_symbol
_atom_site_fract_x
_atom_site_fract_y
_atom_site_fract_z
_atom_site_occupancy
Rb1 Rb 0.250 0.250 0.250 1
Pa1 Pa 0.000 0.000 0.000 1
Cr1 Cr 0.000 0.000 0.500 1
S1 S 0.000 0.000 0.262 1
```

No. 2
# Pa2AuC

A geometry-optimized Pa2AuC structure (PBE, Alexandria via LeMat-Bulk).

The density of states at the Fermi level is 1.435 states/eV per atom. Its energy above the most stable polymorph in this dataset is 0 meV per atom. For the energy of formation, the calculation gives -0.367 eV per atom.

The structure in CIF format:
```
data_Pa2AuC
_space_group_name_H-M_alt 'R 3 m'
_space_group_IT_number 160
_space_group_name_Hall 'R 3 -2"'
_cell_length_a 3.4043
_cell_length_b 3.4043
_cell_length_c 23.6541
_cell_angle_alpha 90.00
_cell_angle_beta 90.00
_cell_angle_gamma 120.00
loop_
_atom_site_label
_atom_site_type_symbol
_atom_site_fract_x
_atom_site_fract_y
_atom_site_fract_z
_atom_site_occupancy
Pa1 Pa 0.0000 0.0000 0.0000 1
Pa2 Pa 0.0000 0.0000 0.2080 1
Au1 Au 0.0000 0.0000 0.7705 1
C1 C 0.0000 0.0000 0.6057 1
```

No. 3
# YZn6Pd4

A geometry-optimized YZn6Pd4 structure (PBE, Alexandria via LeMat-Bulk).

The density of states at the Fermi level is 0.362 states/eV per atom. For the energy of formation, the calculation gives -0.365 eV per atom.

The structure in CIF format:
```
data_YZn6Pd4
_space_group_name_H-M_alt 'I -4 2 m'
_space_group_IT_number 121
_space_group_name_Hall 'I -4 2'
_cell_length_a 6.634
_cell_length_b 6.634
_cell_length_c 9.410
_cell_angle_alpha 90.00
_cell_angle_beta 90.00
_cell_angle_gamma 90.00
loop_
_atom_site_label
_atom_site_type_symbol
_atom_site_fract_x
_atom_site_fract_y
_atom_site_fract_z
_atom_site_occupancy
Y1 Y 0.000 0.000 0.000 1
Zn1 Zn 0.000 0.500 0.000 1
Zn2 Zn 0.173 0.173 0.701 1
Pd1 Pd 0.184 0.184 0.423 1
```

No. 4
# CsTc3Sn

A geometry-optimized CsTc3Sn structure (PBE, Alexandria via LeMat-Bulk).

The density of states at the Fermi level is 1.117 states/eV per atom. Its energy above the most stable polymorph in this dataset is 0 meV per atom. For the energy of formation, the calculation gives 2.010 eV per atom.

The structure in CIF format:
```
data_CsTc3Sn
_space_group_name_H-M_alt 'P m -3 m'
_space_group_IT_number 221
_space_group_name_Hall '-P 4 2 3'
_cell_length_a 5.202
_cell_length_b 5.202
_cell_length_c 5.202
_cell_angle_alpha 90.00
_cell_angle_beta 90.00
_cell_angle_gamma 90.00
loop_
_atom_site_label
_atom_site_type_symbol
_atom_site_fract_x
_atom_site_fract_y
_atom_site_fract_z
_atom_site_occupancy
Cs1 Cs 0.000 0.000 0.000 1
Tc1 Tc 0.000 0.500 0.500 1
Sn1 Sn 0.500 0.500 0.500 1
```